# AlCu

A relaxed AlCu crystal (PBE, Alexandria via LeMat-Bulk). Values from VASP.

Quantum ESPRESSO input file:
```
&SYSTEM
  ibrav = 0, nat = 8, ntyp = 2
/
ATOMIC_SPECIES
Al 26.98 Al.upf
Cu 63.55 Cu.upf
CELL_PARAMETERS angstrom
4.825 0.000 0.000
0.000 4.825 0.000
0.000 0.000 5.411
ATOMIC_POSITIONS crystal
Al 0.191 0.191 0.000
Al 0.309 0.691 0.500
Al 0.691 0.309 0.500
Al 0.809 0.809 0.000
Cu 0.185 0.185 0.500
Cu 0.315 0.685 0.000
Cu 0.685 0.315 0.000
Cu 0.815 0.815 0.500
```


! Rh2C | Alexandria via LeMat-Bulk | PBE | relaxed; values from VASP
! Polymorph energy (0 for the lowest one): 0.612 eV per atom
&SYSTEM
  ibrav = 0, nat = 3, ntyp = 2
/
ATOMIC_SPECIES
Rh 102.91 Rh.upf
C 12.01 C.upf
CELL_PARAMETERS angstrom
-1.342 1.342 4.730
1.342 -1.342 4.730
1.342 1.342 -4.730
ATOMIC_POSITIONS crystal
Rh 0.136 0.136 0.000
Rh 0.864 0.864 0.000
C 0.500 0.500 0.000


! BeTcMo | Alexandria via LeMat-Bulk | PBE | relaxed; values from VASP
! Polymorph energy (0 for the lowest one): 0.000 eV per atom
&SYSTEM
  ibrav = 0, nat = 18, ntyp = 3
/
ATOMIC_SPECIES
Be 9.01 Be.upf
Tc 98.00 Tc.upf
Mo 95.94 Mo.upf
CELL_PARAMETERS angstrom
11.092 0.000 0.000
0.000 3.121 0.000
0.000 0.000 6.575
ATOMIC_POSITIONS crystal
Be 0.090 0.000 0.058
Be 0.250 0.500 0.549
Be 0.410 0.000 0.058
Be 0.590 0.000 0.942
Be 0.750 0.500 0.451
Be 0.910 0.000 0.942
Tc 0.114 0.000 0.426
Tc 0.250 0.000 0.808
Tc 0.386 0.000 0.426
Tc 0.614 0.000 0.574
Tc 0.750 0.000 0.192
Tc 0.886 0.000 0.574
Mo 0.048 0.500 0.772
Mo 0.250 0.500 0.154
Mo 0.452 0.500 0.772
Mo 0.548 0.500 0.228
Mo 0.750 0.500 0.846
Mo 0.952 0.500 0.228


! CsHgPCl2 | Alexandria via LeMat-Bulk | PBE | relaxed; values from VASP
! Formation energy (no corrections): -0.471 eV/atom
! Polymorph energy (0 for the lowest one): 0.000 eV per atom
&SYSTEM
  ibrav = 0, nat = 5, ntyp = 4
/
ATOMIC_SPECIES
Cs 132.91 Cs.upf
Hg 200.59 Hg.upf
P 30.97 P.upf
Cl 35.45 Cl.upf
CELL_PARAMETERS angstrom
5.852 0.000 0.000
0.000 5.852 0.000
0.000 0.000 4.800
ATOMIC_POSITIONS crystal
Cs 0.000 0.000 0.000
Hg 0.500 0.500 0.500
P 0.500 0.500 0.000
Cl 0.000 0.500 0.500
Cl 0.500 0.000 0.500


# AlZn2Os

A relaxed AlZn2Os crystal (PBE, Alexandria via LeMat-Bulk). Values from VASP.

Quantum ESPRESSO input file:
```
&SYSTEM
  ibrav = 0, nat = 4, ntyp = 3
/
ATOMIC_SPECIES
Al 26.98 Al.upf
Zn 65.41 Zn.upf
Os 190.23 Os.upf
CELL_PARAMETERS angstrom
0.000 3.052 3.052
3.052 0.000 3.052
3.052 3.052 0.000
ATOMIC_POSITIONS crystal
Al 0.000 0.000 0.000
Zn 0.500 0.500 0.500
Zn 0.750 0.750 0.750
Os 0.250 0.250 0.250
```


! NiHgN3 | Alexandria via LeMat-Bulk | PBE | relaxed; values from VASP
! Formation energy (no corrections): 1.885 eV/atom
&SYSTEM
  ibrav = 0, nat = 5, ntyp = 3
/
ATOMIC_SPECIES
Ni 58.69 Ni.upf
Hg 200.59 Hg.upf
N 14.01 N.upf
CELL_PARAMETERS angstrom
3.799 0.000 0.000
0.000 3.799 0.000
0.000 0.000 3.799
ATOMIC_POSITIONS crystal
Ni 0.000 0.000 0.000
Hg 0.500 0.500 0.500
N 0.000 0.000 0.500
N 0.000 0.500 0.000
N 0.500 0.000 0.000


# SrSmMg17

A relaxed SrSmMg17 crystal (PBE, Alexandria via LeMat-Bulk). Values from VASP.

Quantum ESPRESSO input file:
```
&SYSTEM
  ibrav = 0, nat = 19, ntyp = 3
/
ATOMIC_SPECIES
Sr 87.62 Sr.upf
Sm 150.36 Sm.upf
Mg 24.30 Mg.upf
CELL_PARAMETERS angstrom
5.191 2.997 5.110
-5.191 2.997 5.110
0.000 -5.995 5.110
ATOMIC_POSITIONS crystal
Sr 0.000 0.000 0.000
Sm 0.334 0.334 0.334
Mg 0.018 0.018 0.498
Mg 0.018 0.498 0.018
Mg 0.163 0.664 0.664
Mg 0.316 0.316 0.814
Mg 0.316 0.814 0.316
Mg 0.365 0.661 0.965
Mg 0.365 0.965 0.661
Mg 0.498 0.018 0.018
Mg 0.563 0.563 0.563
Mg 0.661 0.365 0.965
Mg 0.661 0.965 0.365
Mg 0.664 0.163 0.664
Mg 0.664 0.664 0.163
Mg 0.761 0.761 0.761
Mg 0.814 0.316 0.316
Mg 0.965 0.365 0.661
Mg 0.965 0.661 0.365
```


| no. | N(E_F) (states/eV per cell) | calculated total energy (eV per cell) |
| --- | --- | --- |
| 1 | 2.22 | -30.33 |
| 2 | 2.39 | -21.51 |
| 3 | 9.02 | -153.02 |
| 4 | 0.56 | -12.61 |
| 5 | 3.32 | -17.41 |
| 6 | 7.42 | -21.64 |
| 7 | 9.06 | -34.39 |